Record 1
A geometry-optimized DyTm5Sc structure, computed with GGA-PBE.

Output
symmetry = P2_1/m
energy = -4.6904 eV/atom
size of the total moment = 0.05 μB per atom
energy of formation from the pure elements = 0.0655 eV per atom

Cell lengths 3.5357, 9.0160, 13.4140 Å; angles 101.63, 90.00, 90.00 degrees
Closest atoms and distances in Å follow each position.
Positions (direct):
Tm  0.7500  0.5811  0.9175  1 Sc 3.20, 9 Tm 3.38-3.54, 2 Dy 3.46
Sc  0.7500  0.6469  0.6920  7 Tm 3.20-3.42, 2 Dy 3.30, 2 Sc 3.54
Dy  0.2500  0.8841  0.8612  2 Sc 3.30, 5 Tm 3.31-3.60, 2 Dy 3.54
Tm  0.2500  0.6753  0.4930  3 Sc 3.25-3.42, 6 Tm 3.37-3.58
Tm  0.2500  0.8002  0.1124  8 Tm 3.30-3.54, 3 Dy 3.31-3.60
Tm  0.2500  0.4189  0.0825  1 Sc 3.20, 9 Tm 3.38-3.54, 2 Dy 3.46
Sc  0.2500  0.3531  0.3080  7 Tm 3.20-3.42, 2 Dy 3.30, 2 Sc 3.54
Dy  0.7500  0.1159  0.1388  2 Sc 3.30, 5 Tm 3.31-3.60, 2 Dy 3.54
Tm  0.7500  0.9940  0.6347  1 Sc 3.37, 8 Tm 3.52-3.73
Tm  0.7500  0.6526  0.2765  10 Tm 3.30-3.63, 2 Sc 3.33
Tm  0.7500  0.1998  0.8876  8 Tm 3.30-3.54, 3 Dy 3.31-3.60
Tm  0.2500  0.3474  0.7235  10 Tm 3.30-3.63, 2 Sc 3.33
Tm  0.7500  0.3247  0.5070  3 Sc 3.25-3.42, 6 Tm 3.37-3.58
Tm  0.2500  0.0060  0.3653  1 Sc 3.37, 8 Tm 3.52-3.73

---

Record 2
A geometry-optimized Ta2V structure, computed with GGA-PBE.

Output
symmetry = Fmmm
energy = -10.9205 eV/atom
size of the total moment = 0.00 μB per atom
energy of formation from the pure elements = 0.0208 eV per atom

Cell lengths 3.2052, 3.2052, 5.3898 Å; angles 107.48, 107.48, 89.37 degrees
Closest atoms and distances in Å follow each position.
Positions (direct):
Ta  0.8410  0.8410  0.6822  4 V 2.74-2.76, 4 Ta 2.87-2.89
Ta  0.1590  0.1590  0.3178  4 V 2.74-2.76, 4 Ta 2.87-2.89
V  0.5000  0.5000  0.0000  8 Ta 2.74-2.76

---

Record 3
A geometry-optimized Sm3DySc2 structure, computed with GGA-PBE.

Output
symmetry = Cmcm
energy = -4.9601 eV/atom
size of the total moment = 0.00 μB per atom
energy of formation from the pure elements = 0.2770 eV per atom

Cell lengths 5.4871, 8.7064, 8.7064 Å; angles 111.91, 90.00, 90.00 degrees
Closest atoms and distances in Å follow each position.
Positions (direct):
Sm  0.4930  0.9065  0.9065  3 Dy 3.27-3.61, 4 Sm 3.29-3.53, 2 Sc 3.41
Sm  0.9930  0.0935  0.0935  3 Dy 3.27-3.61, 4 Sm 3.29-3.53, 2 Sc 3.41
Sm  0.9930  0.3760  0.8896  2 Sc 3.11-3.34
Dy  0.9930  0.7233  0.7233  3 Sm 3.27-3.61, 6 Sc 3.38-3.43
Sm  0.9930  0.8896  0.3760  2 Sc 3.11-3.34
Sc  0.9930  0.5114  0.3031  3 Sc 3.01-3.29, 2 Sm 3.11-3.34
Sc  0.4930  0.6969  0.4886  3 Sc 3.01-3.29, 2 Sm 3.11-3.34
Sm  0.4930  0.6240  0.1104  2 Sc 3.11-3.34
Sc  0.9930  0.3031  0.5114  3 Sc 3.01-3.29, 2 Sm 3.11-3.34
Sc  0.4930  0.4886  0.6969  3 Sc 3.01-3.29, 2 Sm 3.11-3.34
Dy  0.4930  0.2767  0.2767  3 Sm 3.27-3.61, 6 Sc 3.38-3.43
Sm  0.4930  0.1104  0.6240  2 Sc 3.11-3.34